Run a
# LaAlTe3 (PBE, relaxed)
# Theoretical density ... 5.96 g/cm³
data_LaAlTe3
_cell_length_a 8.051
_cell_length_b 10.447
_cell_length_c 7.266
_cell_angle_alpha 90.00
_cell_angle_beta 90.00
_cell_angle_gamma 90.00
_space_group_name_H-M_alt 'P n m a'
_space_group_IT_number 62
_space_group_name_Hall '-P 2ac 2n'
loop_
_atom_site_label
_atom_site_type_symbol
_atom_site_fract_x
_atom_site_fract_y
_atom_site_fract_z
_atom_site_occupancy
La1 La 0.123 0.250 0.047 1
Al1 Al 0.000 0.000 0.500 1
Te1 Te 0.008 0.750 0.375 1
Te2 Te 0.173 0.551 0.824 1


Run b
# LaAlTe3 (PBE, relaxed)
# Theoretical density ... 3.88 g/cm³
data_LaAlTe3
_cell_length_a 6.167
_cell_length_b 6.167
_cell_length_c 6.167
_cell_angle_alpha 90.00
_cell_angle_beta 90.00
_cell_angle_gamma 90.00
_space_group_name_H-M_alt 'P m -3 m'
_space_group_IT_number 221
_space_group_name_Hall '-P 4 2 3'
loop_
_atom_site_label
_atom_site_type_symbol
_atom_site_fract_x
_atom_site_fract_y
_atom_site_fract_z
_atom_site_occupancy
La1 La 0.000 0.000 0.000 1
Al1 Al 0.500 0.500 0.500 1
Te1 Te 0.000 0.000 0.500 1


Run c
# LaAlTe3 (PBE, relaxed)
# Theoretical density ... 5.87 g/cm³
data_LaAlTe3
_cell_length_a 5.375
_cell_length_b 5.375
_cell_length_c 5.375
_cell_angle_alpha 90.00
_cell_angle_beta 90.00
_cell_angle_gamma 90.00
_space_group_name_H-M_alt 'P m -3 m'
_space_group_IT_number 221
_space_group_name_Hall '-P 4 2 3'
loop_
_atom_site_label
_atom_site_type_symbol
_atom_site_fract_x
_atom_site_fract_y
_atom_site_fract_z
_atom_site_occupancy
La1 La 0.000 0.000 0.000 1
Al1 Al 0.500 0.500 0.500 1
Te1 Te 0.000 0.500 0.500 1


Run d
# LaAlTe3 (PBE, relaxed)
# Theoretical density ... 5.44 g/cm³
data_LaAlTe3
_cell_length_a 14.023
_cell_length_b 9.943
_cell_length_c 4.808
_cell_angle_alpha 90.00
_cell_angle_beta 90.74
_cell_angle_gamma 90.00
_space_group_name_H-M_alt 'C 1 2/m 1'
_space_group_IT_number 12
_space_group_name_Hall '-C 2y'
loop_
_atom_site_label
_atom_site_type_symbol
_atom_site_fract_x
_atom_site_fract_y
_atom_site_fract_z
_atom_site_occupancy
La1 La 0.235 0.000 0.262 1
Al1 Al 0.000 0.312 0.500 1
Te1 Te 0.102 0.500 0.238 1
Te2 Te 0.144 0.197 0.759 1


run d ends up most stable, edging out the next structure by 10 meV/atom.


Run a
# LaTiAl3 (PBE, relaxed)
# Theoretical density ... 2.89 g/cm³
data_LaTiAl3
_cell_length_a 5.357
_cell_length_b 5.357
_cell_length_c 5.357
_cell_angle_alpha 90.00
_cell_angle_beta 90.00
_cell_angle_gamma 90.00
_space_group_name_H-M_alt 'P m -3 m'
_space_group_IT_number 221
_space_group_name_Hall '-P 4 2 3'
loop_
_atom_site_label
_atom_site_type_symbol
_atom_site_fract_x
_atom_site_fract_y
_atom_site_fract_z
_atom_site_occupancy
La1 La 0.000 0.000 0.000 1
Ti1 Ti 0.500 0.500 0.500 1
Al1 Al 0.000 0.000 0.500 1


Run b
# LaTiAl3 (PBE, relaxed)
# Theoretical density ... 3.67 g/cm³
data_LaTiAl3
_cell_length_a 4.947
_cell_length_b 4.947
_cell_length_c 4.947
_cell_angle_alpha 90.00
_cell_angle_beta 90.00
_cell_angle_gamma 90.00
_space_group_name_H-M_alt 'P m -3 m'
_space_group_IT_number 221
_space_group_name_Hall '-P 4 2 3'
loop_
_atom_site_label
_atom_site_type_symbol
_atom_site_fract_x
_atom_site_fract_y
_atom_site_fract_z
_atom_site_occupancy
La1 La 0.000 0.000 0.000 1
Ti1 Ti 0.500 0.500 0.500 1
Al1 Al 0.000 0.500 0.500 1


run b ends up most stable, edging out the next structure by 1507 meV/atom.